(1)
First-principles (PBE) data for an optimized crystal structure of TeMoBr2, as listed in the Alexandria database.

Formation energy without anion corrections (eV/f.u.): 0.16

Cell and atoms, written as CIF:
```
data_TeMoBr2
_chemical_formula_sum 'Te1 Mo1 Br2'
_cell_length_a 10.835
_cell_length_b 10.835
_cell_length_c 10.835
_cell_angle_alpha 17.55
_cell_angle_beta 17.55
_cell_angle_gamma 17.55
_symmetry_space_group_name_H-M 'P 1'
_symmetry_Int_Tables_number 1
_symmetry_space_group_name_Hall 'P 1'
loop_
_atom_site_label
_atom_site_fract_x
_atom_site_fract_y
_atom_site_fract_z
Mo1 0.250 0.250 0.250
Te1 0.750 0.750 0.750
Br1 0.973 0.973 0.973
Br2 0.527 0.527 0.527
```

***

(2)
First-principles (PBE) data for an optimized crystal structure of TbY8Ho4, as listed in the Alexandria database.

Formation energy from the elements (eV/f.u.): 2.8

Cell and atoms, written as CIF:
```
data_TbY8Ho4
_chemical_formula_sum 'Tb1 Y8 Ho4'
_cell_length_a 7.283
_cell_length_b 7.283
_cell_length_c 10.054
_cell_angle_alpha 90.00
_cell_angle_beta 111.23
_cell_angle_gamma 120.00
_symmetry_space_group_name_H-M 'P 1'
_symmetry_Int_Tables_number 1
_symmetry_space_group_name_Hall 'P 1'
loop_
_atom_site_label
_atom_site_fract_x
_atom_site_fract_y
_atom_site_fract_z
Tb1 0.000 0.500 0.500
Y1 0.568 0.784 0.352
Y2 0.432 0.216 0.648
Y3 0.500 0.250 0.301
Y4 0.949 0.199 0.699
Y5 0.500 0.750 0.699
Y6 0.949 0.750 0.699
Y7 0.051 0.250 0.301
Y8 0.051 0.801 0.301
Ho1 0.000 0.000 0.000
Ho2 0.000 0.500 0.000
Ho3 0.500 0.500 0.000
Ho4 0.500 0.000 0.000
```

***

(3)
First-principles (PBE) data for an optimized crystal structure of Ti6Pd3Pt, as listed in the Alexandria database.

Formation energy from the elements (eV/f.u.): -3.0

Cell and atoms, written as CIF:
```
data_Ti6Pd3Pt
_chemical_formula_sum 'Ti12 Pd6 Pt2'
_cell_length_a 7.218
_cell_length_b 6.076
_cell_length_c 7.764
_cell_angle_alpha 90.00
_cell_angle_beta 88.06
_cell_angle_gamma 90.00
_symmetry_space_group_name_H-M 'P 1'
_symmetry_Int_Tables_number 1
_symmetry_space_group_name_Hall 'P 1'
loop_
_atom_site_label
_atom_site_fract_x
_atom_site_fract_y
_atom_site_fract_z
Ti1 0.670 0.122 0.945
Ti2 0.668 0.132 0.555
Ti3 0.797 0.332 0.249
Ti4 0.203 0.668 0.751
Ti5 0.332 0.868 0.445
Ti6 0.330 0.878 0.055
Ti7 0.170 0.378 0.445
Ti8 0.168 0.368 0.055
Ti9 0.297 0.168 0.749
Ti10 0.703 0.832 0.251
Ti11 0.832 0.632 0.945
Ti12 0.830 0.622 0.555
Pd1 0.552 0.816 0.748
Pd2 0.500 0.500 0.000
Pd3 0.448 0.184 0.252
Pd4 0.052 0.684 0.248
Pd5 0.000 0.000 0.500
Pd6 0.948 0.316 0.752
Pt1 0.500 0.500 0.500
Pt2 0.000 0.000 0.000
```

***

(4)
First-principles (PBE) data for an optimized crystal structure of Nd3Y2Th2, as listed in the Alexandria database.

Formation energy from the elements (eV/f.u.): 0.3

Cell and atoms, written as CIF:
```
data_Nd3Y2Th2
_chemical_formula_sum 'Nd3 Y2 Th2'
_cell_length_a 3.630
_cell_length_b 11.462
_cell_length_c 6.238
_cell_angle_alpha 79.54
_cell_angle_beta 73.02
_cell_angle_gamma 71.55
_symmetry_space_group_name_H-M 'P 1'
_symmetry_Int_Tables_number 1
_symmetry_space_group_name_Hall 'P 1'
loop_
_atom_site_label
_atom_site_fract_x
_atom_site_fract_y
_atom_site_fract_z
Nd1 0.000 0.000 0.000
Nd2 0.435 0.423 0.286
Nd3 0.565 0.577 0.714
Y1 0.293 0.281 0.852
Y2 0.707 0.719 0.148
Th1 0.145 0.139 0.433
Th2 0.855 0.861 0.567
```

***

(5)
First-principles (PBE) data for an optimized crystal structure of AcYBiSe, as listed in the Alexandria database.

Formation energy without anion corrections (eV/f.u.): -4.58

Cell and atoms, written as CIF:
```
data_AcYBiSe
_chemical_formula_sum 'Ac2 Y2 Bi2 Se2'
_cell_length_a 5.158
_cell_length_b 5.158
_cell_length_c 10.474
_cell_angle_alpha 90.00
_cell_angle_beta 90.00
_cell_angle_gamma 90.00
_symmetry_space_group_name_H-M 'P 1'
_symmetry_Int_Tables_number 1
_symmetry_space_group_name_Hall 'P 1'
loop_
_atom_site_label
_atom_site_fract_x
_atom_site_fract_y
_atom_site_fract_z
Ac1 0.000 0.500 0.847
Ac2 0.500 0.000 0.153
Y1 0.000 0.000 0.500
Y2 0.500 0.500 0.500
Bi1 0.500 0.000 0.679
Bi2 0.000 0.500 0.321
Se1 0.500 0.500 0.000
Se2 0.000 0.000 0.000
```

***

(6)
First-principles (PBE) data for an optimized crystal structure of KSr4Se, as listed in the Alexandria database.

Formation energy without anion corrections (eV/f.u.): 0.87

Cell and atoms, written as CIF:
```
data_KSr4Se
_chemical_formula_sum 'K1 Sr4 Se1'
_cell_length_a 7.634
_cell_length_b 7.634
_cell_length_c 7.634
_cell_angle_alpha 60.00
_cell_angle_beta 60.00
_cell_angle_gamma 60.00
_symmetry_space_group_name_H-M 'P 1'
_symmetry_Int_Tables_number 1
_symmetry_space_group_name_Hall 'P 1'
loop_
_atom_site_label
_atom_site_fract_x
_atom_site_fract_y
_atom_site_fract_z
K1 0.750 0.750 0.750
Sr1 0.876 0.375 0.375
Sr2 0.375 0.375 0.876
Sr3 0.375 0.876 0.375
Sr4 0.375 0.375 0.375
Se1 0.000 0.000 0.000
```

***

(7)
First-principles (PBE) data for an optimized crystal structure of SmSi4Pd6, as listed in the Alexandria database.

Formation energy without anion corrections (eV/f.u.): -8.73

Cell and atoms, written as CIF:
```
data_SmSi4Pd6
_chemical_formula_sum 'Sm1 Si4 Pd6'
_cell_length_a 3.927
_cell_length_b 7.142
_cell_length_c 7.142
_cell_angle_alpha 120.00
_cell_angle_beta 90.00
_cell_angle_gamma 90.00
_symmetry_space_group_name_H-M 'P 1'
_symmetry_Int_Tables_number 1
_symmetry_space_group_name_Hall 'P 1'
loop_
_atom_site_label
_atom_site_fract_x
_atom_site_fract_y
_atom_site_fract_z
Sm1 0.000 0.000 0.000
Si1 0.500 0.805 0.611
Si2 0.500 0.389 0.195
Si3 0.500 0.805 0.195
Si4 0.000 0.333 0.667
Pd1 0.000 0.534 0.068
Pd2 0.500 0.602 0.801
Pd3 0.000 0.534 0.466
Pd4 0.000 0.932 0.466
Pd5 0.500 0.199 0.801
Pd6 0.500 0.199 0.398
```

***

(8)
First-principles (PBE) data for an optimized crystal structure of DyCdAgPd, as listed in the Alexandria database.

Formation energy from the elements (eV/f.u.): -2.0

Cell and atoms, written as CIF:
```
data_DyCdAgPd
_chemical_formula_sum 'Dy1 Cd1 Ag1 Pd1'
_cell_length_a 4.872
_cell_length_b 4.872
_cell_length_c 4.872
_cell_angle_alpha 60.00
_cell_angle_beta 60.00
_cell_angle_gamma 60.00
_symmetry_space_group_name_H-M 'P 1'
_symmetry_Int_Tables_number 1
_symmetry_space_group_name_Hall 'P 1'
loop_
_atom_site_label
_atom_site_fract_x
_atom_site_fract_y
_atom_site_fract_z
Cd1 0.750 0.750 0.750
Pd1 0.500 0.500 0.500
Ag1 0.000 0.000 0.000
Dy1 0.250 0.250 0.250
```

***

(9)
First-principles (PBE) data for an optimized crystal structure of KReSe, as listed in the Alexandria database.

Formation energy without anion corrections (eV/f.u.): 1.52

Cell and atoms, written as CIF:
```
data_KReSe
_chemical_formula_sum 'K1 Re1 Se1'
_cell_length_a 3.277
_cell_length_b 3.277
_cell_length_c 7.308
_cell_angle_alpha 90.00
_cell_angle_beta 90.00
_cell_angle_gamma 120.00
_symmetry_space_group_name_H-M 'P 1'
_symmetry_Int_Tables_number 1
_symmetry_space_group_name_Hall 'P 1'
loop_
_atom_site_label
_atom_site_fract_x
_atom_site_fract_y
_atom_site_fract_z
K1 0.000 0.000 0.994
Re1 0.667 0.333 0.396
Se1 0.333 0.667 0.610
```